{"formula": "RbIrWO6", "functional": "PBE+U", "state": "optimized geometry", "lattice": [[7.4025, 0.0000, 0.0000], [0.0000, 7.1935, 0.0000], [-3.7012, -3.5967, 5.1998]], "species": ["Rb", "Rb", "Ir", "Ir", "W", "W", "O", "O", "O", "O", "O", "O", "O", "O", "O", "O", "O", "O"], "fractional_positions": [[0.8665, 0.6165, 0.7331], [0.1335, 0.3835, 0.2669], [0.5000, 0.5000, 0.0000], [0.5000, 0.0000, 0.0000], [0.5000, 0.0000, 0.5000], [0.0000, 0.0000, 0.5000], [0.4350, 0.6850, 0.8700], [0.8140, 0.0640, 0.6279], [0.8179, 0.0718, 0.2572], [0.4393, 0.6854, 0.2572], [0.4393, 0.0718, 0.2572], [0.8179, 0.6854, 0.2572], [0.5650, 0.3150, 0.1300], [0.1860, 0.9360, 0.3721], [0.1821, 0.9282, 0.7428], [0.5607, 0.3146, 0.7428], [0.5607, 0.9282, 0.7428], [0.1821, 0.3146, 0.7428]], "final_energy_ev_per_atom": -6.700, "m_tot_mub_per_cell": 2.52}